Entry 1:
# Dy2Tm8Pb

Dy2Tm8Pb after structural relaxation (PBE, Alexandria via LeMat-Bulk).

abc: 5.573 9.774 9.774
angles: 40.10 92.24 92.24
Atoms (fractional coordinates):
Dy 0.259 0.720 0.720
Dy 0.741 0.280 0.280
Tm 0.232 0.551 0.551
Tm 0.260 0.612 0.137
Tm 0.260 0.137 0.612
Tm 0.740 0.388 0.863
Tm 0.769 0.825 0.825
Tm 0.231 0.175 0.175
Tm 0.768 0.449 0.449
Tm 0.740 0.863 0.388
Pb 0.000 0.000 0.000

The total magnetic moment is 0.00 μB/cell. The calculation puts the energy of formation from the pure elements at 0.0550 eV/atom. Its space group is C2/m, No. 12. The calculation puts the theoretical density at 9.1 Mg/m³. For the uncorrected energy, the calculation gives -48.1 eV for the cell shown.


Entry 2:
# DyTm2Pb2

DyTm2Pb2 after structural relaxation (PBE, Alexandria via LeMat-Bulk).

abc: 4.913 6.504 9.512
angles: 90.00 104.97 90.00
Atoms (fractional coordinates):
Dy 0.608 0.021 0.216
Dy 0.392 0.521 0.784
Pb 0.797 0.526 0.594
Pb 0.203 0.026 0.406
Pb 0.426 0.022 0.852
Pb 0.574 0.522 0.148
Tm 0.186 0.525 0.372
Tm 0.814 0.025 0.628
Tm 0.001 0.272 0.001
Tm 0.999 0.772 0.999

The total magnetic moment is 0.00 μB/cell. The calculation puts the energy of formation from the pure elements at -0.4046 eV/atom. The calculation puts the excess energy over the best structure of this formula in the dataset at 0.000 eV/atom. Its space group is Cmc2_1, No. 36. The calculation puts the theoretical density at 10.3 Mg/m³. For the uncorrected energy, the calculation gives -46.0 eV for the cell shown.


Entry 3:
# Dy4TmPb5

Dy4TmPb5 after structural relaxation (PBE, Alexandria via LeMat-Bulk).

abc: 6.280 7.691 7.691
angles: 80.41 65.90 65.90
Atoms (fractional coordinates):
Dy 0.599 0.601 0.202
Dy 0.200 0.202 0.399
Dy 0.801 0.798 0.601
Dy 0.401 0.399 0.798
Pb 0.298 0.802 0.602
Pb 0.505 0.000 0.000
Pb 0.900 0.398 0.802
Pb 0.702 0.198 0.398
Pb 0.100 0.602 0.198
Tm 0.004 0.000 0.000

The total magnetic moment is 0.00 μB/cell. The calculation puts the energy of formation from the pure elements at -0.3145 eV/atom. The calculation puts the excess energy over the best structure of this formula in the dataset at 0.107 eV/atom. Its space group is I4, No. 79. The calculation puts the theoretical density at 9.9 Mg/m³. For the uncorrected energy, the calculation gives -44.6 eV for the cell shown.


Entry 4:
# DyTm5Pb3

DyTm5Pb3 after structural relaxation (PBE, Alexandria via LeMat-Bulk).

abc: 6.558 9.376 9.382
angles: 119.98 90.00 90.00
Site moments in Bohr magnetons follow the coordinates.
Atoms (fractional coordinates):
Tm 0.750 0.000 0.337  0.29
Tm 0.500 0.333 0.667  0.35
Tm 0.000 0.333 0.667  0.35
Tm 0.750 0.663 0.663  0.29
Tm 0.750 0.337 0.000  0.29
Tm 0.250 0.663 0.000  0.29
Tm 0.250 0.000 0.663  0.29
Tm 0.250 0.337 0.337  0.29
Tm 0.000 0.667 0.333  0.35
Tm 0.500 0.667 0.333  0.35
Pb 0.250 0.000 0.331  -0.01
Pb 0.250 0.669 0.669  -0.01
Pb 0.750 0.669 0.000  -0.01
Pb 0.250 0.331 0.000  -0.01
Pb 0.750 0.000 0.669  -0.01
Pb 0.750 0.331 0.331  -0.01
Dy 0.000 0.000 0.000  0.26
Dy 0.500 0.000 0.000  0.26

The total magnetic moment is 4.67 μB/cell. The calculation puts the energy of formation from the pure elements at -0.3299 eV/atom. Its space group is Cmcm, No. 63. The calculation puts the theoretical density at 10.8 Mg/m³. For the uncorrected energy, the calculation gives -82.1 eV for the cell shown.


Entry 5:
# Dy3TmPb12

Dy3TmPb12 after structural relaxation (PBE, Alexandria via LeMat-Bulk).

abc: 4.910 4.910 19.222
angles: 90.00 90.00 90.00
Atoms (fractional coordinates):
Tm 0.000 0.000 0.000
Pb 0.000 0.500 0.876
Pb 0.500 0.500 0.500
Pb 0.500 0.500 0.249
Pb 0.000 0.500 0.375
Pb 0.000 0.500 0.124
Pb 0.500 0.500 0.000
Pb 0.500 0.000 0.375
Pb 0.500 0.000 0.124
Pb 0.500 0.000 0.625
Pb 0.500 0.000 0.876
Pb 0.000 0.500 0.625
Pb 0.500 0.500 0.751
Dy 0.000 0.000 0.500
Dy 0.000 0.000 0.750
Dy 0.000 0.000 0.250

The total magnetic moment is 0.00 μB/cell. The calculation puts the energy of formation from the pure elements at -0.2668 eV/atom. Its space group is P4/mmm, No. 123. The calculation puts the theoretical density at 11.3 Mg/m³. For the uncorrected energy, the calculation gives -67.0 eV for the cell shown.


Entry 6:
# Dy2Tm3Pb4

Dy2Tm3Pb4 after structural relaxation (PBE, Alexandria via LeMat-Bulk).

abc: 4.890 6.765 8.514
angles: 104.32 106.70 89.98
Atoms (fractional coordinates):
Pb 0.751 0.681 0.502
Pb 0.510 0.282 0.020
Pb 0.490 0.718 0.980
Pb 0.249 0.319 0.498
Tm 0.112 0.589 0.224
Tm 0.888 0.411 0.776
Tm 0.000 0.000 0.000
Dy 0.330 0.934 0.660
Dy 0.670 0.066 0.340

The total magnetic moment is 0.00 μB/cell. The calculation puts the energy of formation from the pure elements at -0.3887 eV/atom. Its space group is C2/m, No. 12. The calculation puts the theoretical density at 10.6 Mg/m³. For the uncorrected energy, the calculation gives -41.0 eV for the cell shown.


Entry 7:
# Dy3TmPb

Dy3TmPb after structural relaxation (PBE, Alexandria via LeMat-Bulk).

abc: 8.455 8.455 12.389
angles: 83.85 83.85 45.01
Atoms (fractional coordinates):
Dy 0.234 0.969 0.176
Dy 0.841 0.591 0.193
Dy 0.197 0.955 0.908
Dy 0.955 0.197 0.408
Dy 0.045 0.803 0.592
Dy 0.031 0.766 0.324
Dy 0.159 0.409 0.807
Dy 0.969 0.234 0.676
Dy 0.803 0.045 0.092
Dy 0.409 0.159 0.307
Dy 0.766 0.031 0.824
Dy 0.591 0.841 0.693
Tm 0.480 0.720 0.447
Tm 0.520 0.280 0.553
Tm 0.280 0.520 0.053
Tm 0.720 0.480 0.947
Pb 0.000 0.500 0.500
Pb 0.500 0.000 0.000
Pb 0.422 0.578 0.750
Pb 0.578 0.422 0.250

The total magnetic moment is 0.00 μB/cell. The calculation puts the energy of formation from the pure elements at -0.0606 eV/atom. Its space group is C2/c, No. 15. The calculation puts the theoretical density at 9.2 Mg/m³. For the uncorrected energy, the calculation gives -89.2 eV for the cell shown.


Entry 8:
# DyTm4Pb2

DyTm4Pb2 after structural relaxation (PBE, Alexandria via LeMat-Bulk).

abc: 4.473 4.473 11.998
angles: 100.74 100.74 90.00
Atoms (fractional coordinates):
Dy 0.000 0.000 0.000
Tm 0.137 0.137 0.275
Tm 0.250 0.750 0.500
Tm 0.863 0.863 0.725
Tm 0.750 0.250 0.500
Pb 0.634 0.634 0.269
Pb 0.366 0.366 0.731

The total magnetic moment is 0.02 μB/cell. The calculation puts the energy of formation from the pure elements at 0.1019 eV/atom. Its space group is I4/mmm, No. 139. The calculation puts the theoretical density at 9.0 Mg/m³. For the uncorrected energy, the calculation gives -29.2 eV for the cell shown.